Computed, not measured: a relaxed structure of TlNi2PdO at the PBE with a Hubbard U level of DFT.

## Properties
Its space group is P4/mmm. The total moment comes out at 1.33 μB per formula unit. The total energy comes out at -3.499 eV/atom.

Cell and atoms, written as POSCAR:
```
TlNi2PdO
1.0
4.004 0.000 0.000
0.000 4.575 0.000
0.000 0.000 4.004
Pd Ni Tl O
1 2 1 1
Direct
0.000 0.500 0.000
0.000 0.000 0.500
0.500 0.000 0.000
0.500 0.500 0.500
0.000 0.000 0.000
```